# 1
DFT (PBE) results for YEr2NpN4 after structural relaxation.

extended XYZ file:
```
8
Lattice="5.9443 0.0000 0.0000 0.0000 3.4413 0.0000 -1.9356 0.0000 5.6244" Properties=species:S:1:pos:R:3 pbc="T T T"
Y 0.0000 0.0000 0.0000
Er 2.0044 0.0000 2.8122
Er 2.9722 1.7207 0.0000
Np -0.9678 1.7207 2.8122
N 0.9474 1.7207 1.4702
N 0.0313 0.0000 4.1879
N 3.9775 0.0000 1.4365
N 3.0613 1.7207 4.1542
```

Values from the calculation:
Formation energy from raw total energies in meV/atom: -1581
DOS at the Fermi energy in states/eV/f.u.: 6.14
Total magnetization in Bohr magnetons per cell: 3.112
Space group: P2/m, No. 10

---

# 2
DFT (PBE) results for Rb3CeO3 after structural relaxation.

extended XYZ file:
```
28
Lattice="8.0149 0.0000 0.0000 0.0000 7.5467 0.0000 -0.6417 0.0000 13.0306" Properties=species:S:1:pos:R:3 pbc="T T T"
Rb 0.2850 1.3943 2.6858
Rb -0.0359 2.3791 9.2011
Rb 1.2555 0.7480 12.2249
Rb 1.5764 3.0254 5.7096
Rb 2.6692 4.7504 10.2121
Rb 2.9901 6.5697 3.6968
Rb 4.3830 0.9771 9.3338
Rb 4.7039 2.7963 2.8185
Rb 5.7968 4.5213 7.3211
Rb 6.1177 6.7988 0.8058
Rb 7.4090 5.1676 3.8295
Rb 7.0881 6.1525 10.3448
Ce 1.3172 4.5030 0.9584
Ce 0.9963 6.8171 7.4737
Ce 6.3768 0.7296 5.5569
Ce 6.0559 3.0438 12.0722
O 0.1443 3.7913 11.8629
O 0.4652 7.5288 5.3476
O 0.6785 4.7955 7.8067
O 0.9994 6.5246 1.2914
O 1.9962 3.7992 2.8354
O 1.6754 7.5210 9.3507
O 5.6978 0.0258 3.6799
O 5.3769 3.7476 10.1952
O 6.3738 1.0221 11.7392
O 6.6946 2.7512 5.2239
O 6.9080 0.0179 7.6831
O 7.2288 3.7554 1.1678
```

Values from the calculation:
Formation energy from raw total energies in meV/atom: -1907
DOS at the Fermi energy in states/eV/f.u.: 3.53
Total magnetization in Bohr magnetons per cell: 1.406
Space group: P2_1/c, No. 14

---

# 3
DFT (PBE) results for MgBrN2O after structural relaxation.

extended XYZ file:
```
5
Lattice="4.0456 0.0000 0.0000 0.0000 4.0456 0.0000 0.0000 0.0000 4.1967" Properties=species:S:1:pos:R:3 pbc="T T T"
Mg 0.0000 0.0000 0.0000
Br 2.0228 2.0228 0.0000
N 0.0000 2.0228 2.0983
N 2.0228 0.0000 2.0983
O 0.0000 0.0000 2.0983
```

Values from the calculation:
Formation energy from raw total energies in meV/atom: 1301
DOS at the Fermi energy in states/eV/f.u.: 2.48
Total magnetization in Bohr magnetons per cell: 3.752
Space group: P4/mmm, No. 123